(1)
Below is Cs3Te2PbO8 after structural relaxation, with properties calculated at the GGA-PBE level.

a b c (Å): 6.6304 6.6304 8.5525
angles (deg): 90.00 90.00 120.00
Space group P-3m1 (No. 164)
Inequivalent atoms, fractional coordinates:
Cs 0.0000 0.0000 0.0000
Cs 0.3333 0.6667 0.6949
Te 0.3333 0.6667 0.2466
Pb 0.0000 0.0000 0.5000
O 0.1763 0.3527 0.3213
O 0.3333 0.6667 0.0298

Values from the calculation:
magnetic moment	0.0	μB/f.u.
DFT total energy	-4.990	eV per atom
raw formation energy	-1.260	eV/atom

***

(2)
Below is Cs2TePbO6 after structural relaxation, with properties calculated at the GGA-PBE level.

a b c (Å): 9.100 9.100 9.100
angles (deg): 90.00 90.00 90.00
Space group Fm-3m (No. 225)
Inequivalent atoms, fractional coordinates:
Cs 0.250 0.250 0.250
Te 0.000 0.000 0.000
Pb 0.000 0.000 0.500
O 0.000 0.000 0.215

Values from the calculation:
magnetic moment	2.0	μB/f.u.
DFT total energy	-4.865	eV per atom
raw formation energy	-1.034	eV/atom

***

(3)
Below is Cs2Te2Pb2O after structural relaxation, with properties calculated at the GGA-PBE level.

a b c (Å): 14.396 5.243 8.846
angles (deg): 90.00 120.39 90.00
Space group C2/m (No. 12)
Inequivalent atoms, fractional coordinates:
Cs 0.050 0.000 0.303
Te 0.183 0.500 0.715
Pb 0.173 0.500 0.071
O 0.000 0.500 0.000

Values from the calculation:
magnetic moment	0.0	μB/f.u.
DFT total energy	-3.746	eV per atom
raw formation energy	-0.837	eV/atom